Record 1
Zr2NbW: relaxed, GGA-PBE.

The space group is Fm-3m (No. 225) and the conventional cell measures 6.791, 6.791 and 6.791 Å, with angles of 90.00, 90.00 and 90.00 degrees. The asymmetric unit holds Zr at (0.250, 0.250, 0.250), Nb at (0.000, 0.000, 0.000) and W at (0.000, 0.000, 0.500).

The value obtained for the volume is 19.58 Å³ per atom. The calculation puts the polymorph energy (0 for the lowest one) at 0.0000 eV per atom. The formation energy comes out at 70 kJ/mol of formula units. The value obtained for the magnetic moment is 0.00 μB per cell.


Record 2
YNb4: relaxed, GGA-PBE.

The space group is Pm-3m (No. 221) and the conventional cell measures 4.850, 4.850 and 4.850 Å, with angles of 90.00, 90.00 and 90.00 degrees. The asymmetric unit holds Y at (0.000, 0.000, 0.000), Nb at (0.000, 0.000, 0.500) and Nb at (0.500, 0.500, 0.500).

The value obtained for the volume is 22.82 Å³ per atom. The formation energy comes out at 1007 kJ/mol of formula units. The value obtained for the magnetic moment is 0.00 μB per cell.


Record 3
YNb2: relaxed, GGA-PBE.

The space group is Fd-3m (No. 227, origin choice 2) and the conventional cell measures 8.111, 8.111 and 8.111 Å, with angles of 90.00, 90.00 and 90.00 degrees. The asymmetric unit holds Y at (0.125, 0.125, 0.125) and Nb at (0.000, 0.000, 0.500).

The value obtained for the volume is 22.24 Å³ per atom. The calculation puts the polymorph energy (0 for the lowest one) at 0.0221 eV per atom. The formation energy comes out at 53 kJ/mol of formula units. The value obtained for the magnetic moment is 0.00 μB per cell.


Record 4
Y4Nb: relaxed, GGA-PBE.

The space group is Pm-3m (No. 221) and the conventional cell measures 5.492, 5.492 and 5.492 Å, with angles of 90.00, 90.00 and 90.00 degrees. The asymmetric unit holds Y at (0.000, 0.000, 0.000), Y at (0.000, 0.500, 0.500) and Nb at (0.500, 0.500, 0.500).

The value obtained for the volume is 33.12 Å³ per atom. The formation energy comes out at 234 kJ/mol of formula units. The value obtained for the magnetic moment is 0.00 μB per cell.


Record 5
YNb2: relaxed, GGA-PBE.

The space group is I4/mmm (No. 139) and the conventional cell measures 3.511, 3.511 and 10.938 Å, with angles of 90.00, 90.00 and 90.00 degrees. The asymmetric unit holds Y at (0.000, 0.000, 0.000) and Nb at (0.000, 0.000, 0.304).

The value obtained for the volume is 22.47 Å³ per atom. The calculation puts the polymorph energy (0 for the lowest one) at 0.0000 eV per atom. The formation energy comes out at 46 kJ/mol of formula units. The value obtained for the magnetic moment is 0.00 μB per cell.


Record 6
YNbZn4: relaxed, GGA-PBE.

The space group is F-43m (No. 216) and the conventional cell measures 7.459, 7.459 and 7.459 Å, with angles of 90.00, 90.00 and 90.00 degrees. The asymmetric unit holds Y at (0.000, 0.000, 0.000), Nb at (0.250, 0.250, 0.750) and Zn at (0.124, 0.124, 0.376).

The value obtained for the volume is 17.29 Å³ per atom. The formation energy comes out at -94 kJ/mol of formula units. The value obtained for the magnetic moment is 9.41 μB per cell.


Record 7
YNbZn3: relaxed, GGA-PBE.

The space group is Pm-3m (No. 221) and the conventional cell measures 4.907, 4.907 and 4.907 Å, with angles of 90.00, 90.00 and 90.00 degrees. The asymmetric unit holds Y at (0.000, 0.000, 0.000), Nb at (0.500, 0.500, 0.500) and Zn at (0.000, 0.500, 0.500).

The value obtained for the volume is 23.63 Å³ per atom. The calculation puts the polymorph energy (0 for the lowest one) at 0.0000 eV per atom. The formation energy comes out at 243 kJ/mol of formula units. The value obtained for the magnetic moment is 0.00 μB per cell.


Record 8
Y2NbZn: relaxed, GGA-PBE.

The space group is I-42d (No. 122) and the conventional cell measures 4.326, 4.326 and 20.554 Å, with angles of 90.00, 90.00 and 90.00 degrees. The asymmetric unit holds Y at (0.249, 0.250, 0.125), Nb at (0.000, 0.000, 0.500) and Zn at (0.000, 0.000, 0.000).

The value obtained for the volume is 24.04 Å³ per atom. The formation energy comes out at 229 kJ/mol of formula units. The value obtained for the magnetic moment is 0.00 μB per cell.


Record 9
YNb2Zn: relaxed, GGA-PBE.

The space group is I-42d (No. 122) and the conventional cell measures 4.018, 4.018 and 20.861 Å, with angles of 90.00, 90.00 and 90.00 degrees. The asymmetric unit holds Y at (0.000, 0.000, 0.000), Nb at (0.242, 0.250, 0.625) and Zn at (0.000, 0.000, 0.500).

The value obtained for the volume is 21.05 Å³ per atom. The formation energy comes out at 164 kJ/mol of formula units. The value obtained for the magnetic moment is 0.00 μB per cell.


Record 10
YNbZn2: relaxed, GGA-PBE.

The space group is I-42d (No. 122) and the conventional cell measures 4.352, 4.352 and 19.128 Å, with angles of 90.00, 90.00 and 90.00 degrees. The asymmetric unit holds Y at (0.000, 0.000, 0.000), Nb at (0.000, 0.000, 0.500) and Zn at (0.156, 0.250, 0.625).

The value obtained for the volume is 22.64 Å³ per atom. The calculation puts the polymorph energy (0 for the lowest one) at 0.5172 eV per atom. The formation energy comes out at 188 kJ/mol of formula units. The value obtained for the magnetic moment is 0.00 μB per cell.